Below is a relaxed TiTlPd crystal, with properties calculated at the PBE level.

The structure in CIF format:
```
data_TiTlPd
_chemical_formula_sum 'Ti2 Tl2 Pd2'
_cell_length_a 3.168
_cell_length_b 3.168
_cell_length_c 11.086
_cell_angle_alpha 90.00
_cell_angle_beta 90.00
_cell_angle_gamma 90.00
_symmetry_space_group_name_H-M 'I 4 m m'
_symmetry_Int_Tables_number 107
_symmetry_space_group_name_Hall 'I 4 -2'
loop_
_atom_site_label
_atom_site_type_symbol
_atom_site_fract_x
_atom_site_fract_y
_atom_site_fract_z
Ti1 Ti 0.000 0.000 0.000
Tl1 Tl 0.000 0.000 0.316
Pd1 Pd 0.000 0.000 0.634
```

Properties
total magnetic moment = 0.000 μB per cell
total energy = -31.9 eV/cell
crystal system = tetragonal
energy of formation = -49 kJ/mol of formula units

=====

Below is a relaxed TiTlPd6 crystal, with properties calculated at the PBE level.

The structure in CIF format:
```
data_TiTlPd6
_chemical_formula_sum 'Ti1 Tl1 Pd6'
_cell_length_a 4.007
_cell_length_b 4.007
_cell_length_c 8.022
_cell_angle_alpha 90.00
_cell_angle_beta 90.00
_cell_angle_gamma 90.00
_symmetry_space_group_name_H-M 'P 4/m m m'
_symmetry_Int_Tables_number 123
_symmetry_space_group_name_Hall '-P 4 2'
loop_
_atom_site_label
_atom_site_type_symbol
_atom_site_fract_x
_atom_site_fract_y
_atom_site_fract_z
Ti1 Ti 0.000 0.000 0.000
Tl1 Tl 0.000 0.000 0.500
Pd1 Pd 0.000 0.500 0.234
Pd2 Pd 0.500 0.500 0.000
Pd3 Pd 0.500 0.500 0.500
```

Properties
total magnetic moment = 0.000 μB per cell
total energy = -45.0 eV/cell
crystal system = tetragonal
energy of formation = -349 kJ/mol of formula units

=====

Below is a relaxed Ti3TlPd crystal, with properties calculated at the PBE level.

The structure in CIF format:
```
data_Ti3TlPd
_chemical_formula_sum 'Ti3 Tl1 Pd1'
_cell_length_a 4.790
_cell_length_b 4.790
_cell_length_c 4.790
_cell_angle_alpha 90.00
_cell_angle_beta 90.00
_cell_angle_gamma 90.00
_symmetry_space_group_name_H-M 'P m -3 m'
_symmetry_Int_Tables_number 221
_symmetry_space_group_name_Hall '-P 4 2 3'
loop_
_atom_site_label
_atom_site_type_symbol
_atom_site_fract_x
_atom_site_fract_y
_atom_site_fract_z
Ti1 Ti 0.000 0.000 0.500
Tl1 Tl 0.500 0.500 0.500
Pd1 Pd 0.000 0.000 0.000
```

Properties
total magnetic moment = 0.000 μB per cell
total energy = -29.1 eV/cell
crystal system = cubic
energy above the lowest structure with this stoichiometry = 0.0000 eV/atom
energy of formation = 207 kJ/mol of formula units

=====

Below is a relaxed TiTl2Pd crystal, with properties calculated at the PBE level.

The structure in CIF format:
```
data_TiTl2Pd
_chemical_formula_sum 'Ti4 Tl8 Pd4'
_cell_length_a 6.822
_cell_length_b 6.822
_cell_length_c 6.822
_cell_angle_alpha 90.00
_cell_angle_beta 90.00
_cell_angle_gamma 90.00
_symmetry_space_group_name_H-M 'F m -3 m'
_symmetry_Int_Tables_number 225
_symmetry_space_group_name_Hall '-F 4 2 3'
loop_
_atom_site_label
_atom_site_type_symbol
_atom_site_fract_x
_atom_site_fract_y
_atom_site_fract_z
Ti1 Ti 0.000 0.000 0.000
Tl1 Tl 0.250 0.250 0.250
Pd1 Pd 0.000 0.000 0.500
```

Properties
total magnetic moment = 0.000 μB per cell
total energy = -70.0 eV/cell
crystal system = cubic
energy above the lowest structure with this stoichiometry = 0.0000 eV/atom
energy of formation = 32 kJ/mol of formula units

=====

Below is a relaxed TiTlPd crystal, with properties calculated at the PBE level.

The structure in CIF format:
```
data_TiTlPd
_chemical_formula_sum 'Ti16 Tl16 Pd16'
_cell_length_a 7.389
_cell_length_b 11.839
_cell_length_c 11.922
_cell_angle_alpha 90.00
_cell_angle_beta 90.00
_cell_angle_gamma 90.00
_symmetry_space_group_name_H-M 'F d d d'
_symmetry_Int_Tables_number 70
loop_
_symmetry_equiv_pos_as_xyz
'x,y,z'
'-x,-y,-z'
'-x+1/4,-y+1/4,z'
'x+1/4,y+1/4,-z'
'x,-y+1/4,-z+1/4'
'-x,y+1/4,z+1/4'
'-x+1/4,y,-z+1/4'
'x+1/4,-y,z+1/4'
'x,y+1/2,z+1/2'
'-x,-y+1/2,-z+1/2'
'-x+1/4,-y+3/4,z+1/2'
'x+1/4,y+3/4,-z+1/2'
'x,-y+3/4,-z+3/4'
'-x,y+3/4,z+3/4'
'-x+1/4,y+1/2,-z+3/4'
'x+1/4,-y+1/2,z+3/4'
'x+1/2,y,z+1/2'
'-x+1/2,-y,-z+1/2'
'-x+3/4,-y+1/4,z+1/2'
'x+3/4,y+1/4,-z+1/2'
'x+1/2,-y+1/4,-z+3/4'
'-x+1/2,y+1/4,z+3/4'
'-x+3/4,y,-z+3/4'
'x+3/4,-y,z+3/4'
'x+1/2,y+1/2,z'
'-x+1/2,-y+1/2,-z'
'-x+3/4,-y+3/4,z'
'x+3/4,y+3/4,-z'
'x+1/2,-y+3/4,-z+1/4'
'-x+1/2,y+3/4,z+1/4'
'-x+3/4,y+1/2,-z+1/4'
'x+3/4,-y+1/2,z+1/4'
loop_
_atom_site_label
_atom_site_type_symbol
_atom_site_fract_x
_atom_site_fract_y
_atom_site_fract_z
Ti1 Ti 0.125 0.259 0.125
Tl1 Tl 0.000 0.000 0.500
Pd1 Pd 0.125 0.125 0.292
```

Properties
total magnetic moment = 0.003 μB per cell
total energy = -250.1 eV/cell
crystal system = orthorhombic
energy of formation = -17 kJ/mol of formula units

=====

Below is a relaxed Ti6TlPd12 crystal, with properties calculated at the PBE level.

The structure in CIF format:
```
data_Ti6TlPd12
_chemical_formula_sum 'Ti18 Tl3 Pd36'
_cell_length_a 12.2952
_cell_length_b 12.2952
_cell_length_c 6.9267
_cell_angle_alpha 90.00
_cell_angle_beta 90.00
_cell_angle_gamma 120.00
_symmetry_space_group_name_H-M 'R -3'
_symmetry_Int_Tables_number 148
_symmetry_space_group_name_Hall '-R 3'
loop_
_atom_site_label
_atom_site_type_symbol
_atom_site_fract_x
_atom_site_fract_y
_atom_site_fract_z
Ti1 Ti 0.0221 0.2654 0.3472
Tl1 Tl 0.0000 0.0000 0.0000
Pd1 Pd 0.0056 0.1405 0.6595
Pd2 Pd 0.0617 0.5592 0.6729
```

Properties
total magnetic moment = 0.045 μB per cell
total energy = -363.5 eV/cell
crystal system = trigonal
energy of formation = -881 kJ/mol of formula units

=====

Among the records above, which one has the highest energy of formation? Ti3TlPd

=====

Please write out number 1 again, unchanged.
Below is a relaxed TiTlPd crystal, with properties calculated at the PBE level.

The structure in CIF format:
```
data_TiTlPd
_chemical_formula_sum 'Ti2 Tl2 Pd2'
_cell_length_a 3.168
_cell_length_b 3.168
_cell_length_c 11.086
_cell_angle_alpha 90.00
_cell_angle_beta 90.00
_cell_angle_gamma 90.00
_symmetry_space_group_name_H-M 'I 4 m m'
_symmetry_Int_Tables_number 107
_symmetry_space_group_name_Hall 'I 4 -2'
loop_
_atom_site_label
_atom_site_type_symbol
_atom_site_fract_x
_atom_site_fract_y
_atom_site_fract_z
Ti1 Ti 0.000 0.000 0.000
Tl1 Tl 0.000 0.000 0.316
Pd1 Pd 0.000 0.000 0.634
```

Properties
total magnetic moment = 0.000 μB per cell
total energy = -31.9 eV/cell
crystal system = tetragonal
energy of formation = -49 kJ/mol of formula units

=====

Which of these has the highest total magnetic moment? Ti6TlPd12

=====

Which formula does entry 2 have? TiTlPd6